Record 1
UTeP | PBE | optimized geometry

Cell and atoms, written as POSCAR:
```
UTeP
1.0
4.1363 0.0000 0.0000
0.0000 4.1296 -0.2559
0.0000 0.4899 8.2808
U P Te
2 2 2
direct
0.2500 0.2521 0.7764 U
0.7500 0.7479 0.2236 U
0.7500 0.2476 0.0000 P
0.2500 0.7524 0.0000 P
0.7500 0.7509 0.6284 Te
0.2500 0.2491 0.3716 Te
```

Results
DOS(E_F) = 2.410 states/eV/atom
ΔE_f (raw) = -0.6642 eV/atom
theoretical density = 9.3 g/cm³



Record 2
U2TeP | PBE | optimized geometry

Cell and atoms, written as POSCAR:
```
U2TeP
1.0
-0.5913 -4.0675 0.2622
3.1506 -2.5823 -0.6068
2.3210 -1.9985 6.5786
U Te P
2 1 1
direct
0.7646 0.7646 0.7061 U
0.2354 0.2354 0.2939 U
0.0000 0.0000 0.0000 Te
0.5000 0.5000 0.5000 P
```

Results
DOS(E_F) = 2.987 states/eV/atom
polymorph energy (0 for the lowest one) = 0.0 meV per atom
ΔE_f (raw) = -0.7304 eV/atom
theoretical density = 10.5 g/cm³